Below is a relaxed Ac2GaSn3Au4 crystal, with properties calculated at the PBE level.

Raw total energy   -4.281 eV per atom
Energy of formation from the pure elements   -0.645 eV per atom
Magnetization   0.0000 μB/atom

Lattice parameters (Å, degrees): 4.7328 4.7328 11.1712 90.00 90.00 90.00
Element x y z (fractional)
Ac 0.0000 0.5000 0.2464
Ac 0.5000 0.0000 0.7536
Ga 0.0000 0.0000 0.5000
Sn 0.0000 0.5000 0.8678
Sn 0.5000 0.0000 0.1322
Sn 0.5000 0.5000 0.5000
Au 0.0000 0.0000 0.0000
Au 0.0000 0.5000 0.6259
Au 0.5000 0.0000 0.3741
Au 0.5000 0.5000 0.0000

***

Below is a relaxed Re2HgW crystal, with properties calculated at the PBE level.

Raw total energy   -9.087 eV per atom
Energy of formation from the pure elements   0.451 eV per atom
Magnetization   0.0000 μB/atom

Lattice parameters (Å, degrees): 2.8468 2.8468 8.2567 90.00 90.00 90.00
Element x y z (fractional)
Re 0.0000 0.0000 0.0000
Re 0.5000 0.5000 0.2129
Hg 0.5000 0.5000 0.7263
W 0.0000 0.0000 0.4511